[1]
First-principles (PBE) data for a relaxed structure of PmCd3Ga3, as listed in the Alexandria database.

The structure belongs to space group Pm-3n (No. 223); the cell edges are 7.3438, 7.3438 and 7.3438 Å and the angles 90.00°, 90.00° and 90.00°. Symmetry generates all atoms from Pm at (0.0000, 0.0000, 0.0000), Cd at (0.0000, 0.2500, 0.5000) and Ga at (0.0000, 0.5000, 0.2500).

Its crystal system is cubic.

[2]
First-principles (PBE) data for a relaxed structure of Pm6Cd3Ga, as listed in the Alexandria database.

The structure belongs to space group P2_1/m (No. 11); the cell edges are 9.3965, 5.3545 and 11.8810 Å and the angles 90.00°, 107.60° and 90.00°. Symmetry generates all atoms from Pm at (0.0298, 0.2500, 0.4110), Pm at (0.1639, 0.7500, 0.1693), Pm at (0.2616, 0.2500, 0.9997), Pm at (0.3541, 0.7500, 0.8255), Pm at (0.3688, 0.2500, 0.3429), Pm at (0.3993, 0.2500, 0.6289), Cd at (0.0274, 0.7500, 0.8735), Cd at (0.1090, 0.2500, 0.7198), Cd at (0.2701, 0.7500, 0.4698) and Ga at (0.4563, 0.7500, 0.1044).

Its crystal system is monoclinic.

[3]
First-principles (PBE) data for a relaxed structure of Pm2Cd3Ga, as listed in the Alexandria database.

The structure belongs to space group Pmm2 (No. 25); the cell edges are 3.6288, 4.8897 and 8.4362 Å and the angles 90.00°, 90.00° and 90.00°. Symmetry generates all atoms from Pm at (0.0000, 0.0000, 0.0000), Pm at (0.0000, 0.5000, 0.4757), Cd at (0.5000, 0.0000, 0.6504), Cd at (0.5000, 0.5000, 0.1553), Cd at (0.5000, 0.5000, 0.8175) and Ga at (0.5000, 0.0000, 0.3227).

As for the excess energy over the best structure of this formula in the dataset: 0 meV/atom. Its crystal system is orthorhombic.

[4]
First-principles (PBE) data for a relaxed structure of Pm4Cd3Ga, as listed in the Alexandria database.

The structure belongs to space group P4/mmm (No. 123); the cell edges are 3.7494, 3.7494 and 15.4933 Å and the angles 90.00°, 90.00° and 90.00°. Symmetry generates all atoms from Pm at (0.0000, 0.0000, 0.1136), Pm at (0.0000, 0.0000, 0.3714), Cd at (0.5000, 0.5000, 0.2445), Cd at (0.5000, 0.5000, 0.5000) and Ga at (0.5000, 0.5000, 0.0000).

As for the excess energy over the best structure of this formula in the dataset: 0 meV/atom. Its crystal system is tetragonal.

[5]
First-principles (PBE) data for a relaxed structure of Pm3Cd3Ga, as listed in the Alexandria database.

The structure belongs to space group Imm2 (No. 44); the cell edges are 3.6615, 4.8549 and 20.8764 Å and the angles 90.00°, 90.00° and 90.00°. Symmetry generates all atoms from Pm at (0.0000, 0.0000, 0.0000), Pm at (0.0000, 0.0000, 0.3906), Pm at (0.0000, 0.5000, 0.2041), Cd at (0.0000, 0.0000, 0.5572), Cd at (0.0000, 0.0000, 0.8384), Cd at (0.0000, 0.5000, 0.6333) and Ga at (0.0000, 0.5000, 0.7640).

Its crystal system is orthorhombic.

[6]
First-principles (PBE) data for a relaxed structure of PmCd2Ga2, as listed in the Alexandria database.

The structure belongs to space group I4/mmm (No. 139); the cell edges are 4.3678, 4.3678 and 11.5331 Å and the angles 90.00°, 90.00° and 90.00°. Symmetry generates all atoms from Pm at (0.0000, 0.0000, 0.0000), Cd at (0.0000, 0.5000, 0.2500) and Ga at (0.0000, 0.0000, 0.3950).

Its crystal system is tetragonal.

[7]
First-principles (PBE) data for a relaxed structure of Pm6CdGa2, as listed in the Alexandria database.

The structure belongs to space group C2/m (No. 12); the cell edges are 16.1950, 7.3250 and 5.0971 Å and the angles 90.00°, 108.21° and 90.00°. Symmetry generates all atoms from Pm at (0.0000, 0.2378, 0.0000), Pm at (0.1702, 0.2456, 0.6703), Cd at (0.0000, 0.5000, 0.5000) and Ga at (0.1681, 0.0000, 0.1684).

As for the excess energy over the best structure of this formula in the dataset: 202 meV/atom. Its crystal system is monoclinic.

[8]
First-principles (PBE) data for a relaxed structure of PmCd4Ga4, as listed in the Alexandria database.

The structure belongs to space group P4_2/nmc (No. 137, origin choice 2); the cell edges are 6.4004, 6.4004 and 9.9969 Å and the angles 90.00°, 90.00° and 90.00°. Symmetry generates all atoms from Pm at (0.2500, 0.7500, 0.2500), Cd at (0.0278, 0.2500, 0.1755) and Ga at (0.0344, 0.2500, 0.4649).

Its crystal system is tetragonal.

[9]
First-principles (PBE) data for a relaxed structure of Pm2Cd3Ga2, as listed in the Alexandria database.

The structure belongs to space group Cmmm (No. 65); the cell edges are 4.3145, 21.3610 and 3.6685 Å and the angles 90.00°, 90.00° and 90.00°. Symmetry generates all atoms from Pm at (0.0000, 0.1617, 0.0000), Cd at (0.0000, 0.0000, 0.0000), Cd at (0.0000, 0.4291, 0.5000) and Ga at (0.0000, 0.2837, 0.5000).

As for the excess energy over the best structure of this formula in the dataset: 12 meV/atom. Its crystal system is orthorhombic.

[10]
First-principles (PBE) data for a relaxed structure of Pm3CdGa3, as listed in the Alexandria database.

The structure belongs to space group C2/m (No. 12); the cell edges are 11.3060, 4.5285 and 14.6119 Å and the angles 90.00°, 110.29° and 90.00°. Symmetry generates all atoms from Pm at (0.0213, 0.0000, 0.3738), Pm at (0.1054, 0.0000, 0.9234), Pm at (0.2360, 0.0000, 0.2197), Cd at (0.2399, 0.5000, 0.4021), Ga at (0.0283, 0.5000, 0.2266), Ga at (0.1075, 0.5000, 0.0735) and Ga at (0.1187, 0.5000, 0.5503).

As for the excess energy over the best structure of this formula in the dataset: 0 meV/atom. Its crystal system is monoclinic.

[11]
First-principles (PBE) data for a relaxed structure of Pm6CdGa, as listed in the Alexandria database.

The structure belongs to space group I4/mmm (No. 139); the cell edges are 5.1899, 5.1899 and 18.0891 Å and the angles 90.00°, 90.00° and 90.00°. Symmetry generates all atoms from Pm at (0.0000, 0.0000, 0.2500), Pm at (0.0000, 0.5000, 0.1077), Cd at (0.0000, 0.0000, 0.0000) and Ga at (0.0000, 0.0000, 0.5000).

Its crystal system is tetragonal.

[12]
First-principles (PBE) data for a relaxed structure of Pm3CdGa2, as listed in the Alexandria database.

The structure belongs to space group P4/mmm (No. 123); the cell edges are 3.6142, 3.6142 and 11.8252 Å and the angles 90.00°, 90.00° and 90.00°. Symmetry generates all atoms from Pm at (0.0000, 0.0000, 0.0000), Pm at (0.0000, 0.0000, 0.3194), Cd at (0.5000, 0.5000, 0.5000) and Ga at (0.5000, 0.5000, 0.1642).

As for the excess energy over the best structure of this formula in the dataset: 0 meV/atom. Its crystal system is tetragonal.

Number 1: final energy -2.076 eV/atom. Number 2: final energy -3.707 eV/atom. Number 3: final energy -2.945 eV/atom. Number 4: final energy -3.475 eV/atom. Number 5: final energy -3.205 eV/atom. Number 6: final energy -2.921 eV/atom. Number 7: final energy -4.068 eV/atom. Number 8: final energy -2.316 eV/atom. Number 9: final energy -2.995 eV/atom. Number 10: final energy -4.014 eV/atom. Number 11: final energy -4.254 eV/atom. Number 12: final energy -4.022 eV/atom.